1.
The following is a DFT calculation (PBE) of a geometry-optimized SrNi2Pt structure.

Properties
* energy of formation: -0.066 eV/atom
* symmetry: I-42d, No. 122
* density of states at the Fermi level: 1.3054 states/eV per atom
* E_tot: -4.888 eV per atom
* magnetization: 0.0 μB per formula unit

```
8
Lattice="-2.260 2.260 8.568 2.260 -2.260 8.568 2.260 2.260 -8.568" Properties=species:S:1:pos:R:3 pbc="T T T"
Sr 0.000 0.000 0.000
Sr 0.000 2.260 4.284
Ni 1.130 -0.208 6.426
Ni 2.052 1.130 2.142
Ni 1.130 2.468 -2.142
Ni 0.208 1.130 10.711
Pt 2.260 0.000 4.284
Pt 0.000 0.000 8.568
```



2.
The following is a DFT calculation (PBE) of a geometry-optimized SrNi2Pt structure.

Properties
* energy of formation: 0.136 eV/atom
* symmetry: Imm2, No. 44
* density of states at the Fermi level: 1.4361 states/eV per atom
* E_tot: -4.685 eV per atom
* magnetization: 0.7 μB per formula unit

```
4
Lattice="-1.487 2.375 4.801 1.487 -2.375 4.801 1.487 2.375 -4.801" Properties=species:S:1:pos:R:3 pbc="T T T"
Sr 0.000 0.000 0.000
Ni 1.487 0.000 2.714
Ni 0.000 0.000 4.665
Pt 0.000 2.375 2.055
```



3.
The following is a DFT calculation (PBE) of a geometry-optimized Sr6NiPt structure.

Properties
* energy of formation: -0.280 eV/atom
* symmetry: P-31c, No. 163
* density of states at the Fermi level: 0.6578 states/eV per atom
* E_tot: -3.019 eV per atom
* magnetization: 0.0 μB per formula unit

```
16
Lattice="7.377 0.000 0.000 -3.688 6.389 0.000 0.000 0.000 14.209" Properties=species:S:1:pos:R:3 pbc="T T T"
Sr -1.163 2.126 1.762
Sr -2.428 4.319 5.342
Sr 1.163 2.126 5.342
Sr -1.266 6.332 1.762
Sr 2.423 0.056 8.867
Sr 1.260 2.070 12.446
Sr 2.428 4.319 1.762
Sr 1.266 6.332 5.342
Sr 4.954 0.056 12.446
Sr 2.526 4.262 8.867
Sr 6.117 2.070 8.867
Sr 4.851 4.262 12.446
Ni 0.000 0.000 0.000
Ni 0.000 0.000 7.104
Pt 0.000 4.259 3.552
Pt 3.688 2.130 10.656
```



4.
The following is a DFT calculation (PBE) of a geometry-optimized Sr2NiPt structure.

Properties
* energy of formation: -0.136 eV/atom
* symmetry: P4mm, No. 99
* density of states at the Fermi level: 1.5546 states/eV per atom
* E_tot: -3.933 eV per atom
* magnetization: 0.2 μB per formula unit

```
4
Lattice="4.333 0.000 0.000 0.000 4.333 0.000 0.000 0.000 6.110" Properties=species:S:1:pos:R:3 pbc="T T T"
Sr 0.000 0.000 0.000
Sr 2.166 2.166 3.033
Ni 0.000 0.000 3.062
Pt 2.166 2.166 6.086
```



5.
The following is a DFT calculation (PBE) of a geometry-optimized SrNi3Pt structure.

Properties
* energy of formation: 1.830 eV/atom
* symmetry: Pm-3m, No. 221
* density of states at the Fermi level: 0.8976 states/eV per atom
* E_tot: -3.184 eV per atom
* magnetization: 0.0 μB per formula unit

```
5
Lattice="4.560 0.000 0.000 0.000 4.560 0.000 0.000 0.000 4.560" Properties=species:S:1:pos:R:3 pbc="T T T"
Sr 0.000 0.000 0.000
Ni 0.000 0.000 2.280
Ni 0.000 2.280 0.000
Ni 2.280 0.000 0.000
Pt 2.280 2.280 2.280
```



6.
The following is a DFT calculation (PBE) of a geometry-optimized SrNiPt structure.

Properties
* energy of formation: -0.497 eV/atom
* symmetry: Imma, No. 74
* density of states at the Fermi level: 0.7191 states/eV per atom
* E_tot: -4.998 eV per atom
* magnetization: 0.0 μB per formula unit

```
6
Lattice="-2.675 2.785 3.789 2.675 -2.785 3.789 2.675 2.785 -3.789" Properties=species:S:1:pos:R:3 pbc="T T T"
Sr 0.000 1.392 0.934
Sr 2.675 1.392 2.856
Ni 1.337 1.392 -1.895
Ni 1.337 -1.392 1.895
Pt 2.675 0.000 0.000
Pt 0.000 0.000 3.789
```



7.
The following is a DFT calculation (PBE) of a geometry-optimized SrNi2Pt structure.

Properties
* energy of formation: 0.124 eV/atom
* symmetry: P2/m, No. 10
* density of states at the Fermi level: 1.1892 states/eV per atom
* E_tot: -4.698 eV per atom
* magnetization: 0.6 μB per formula unit

```
4
Lattice="2.951 0.000 0.000 0.000 4.384 0.000 -1.075 0.000 5.619" Properties=species:S:1:pos:R:3 pbc="T T T"
Sr 0.000 0.000 0.000
Ni 0.133 2.192 3.769
Ni 1.744 2.192 1.850
Pt 0.938 0.000 2.809
```



8.
The following is a DFT calculation (PBE) of a geometry-optimized SrNi2Pt structure.

Properties
* energy of formation: 0.060 eV/atom
* symmetry: Pmm2, No. 25
* density of states at the Fermi level: 1.3962 states/eV per atom
* E_tot: -4.761 eV per atom
* magnetization: 1.1 μB per formula unit

```
4
Lattice="2.982 0.000 0.000 0.000 3.353 0.000 0.000 0.000 6.939" Properties=species:S:1:pos:R:3 pbc="T T T"
Sr 0.000 0.000 0.000
Ni 0.000 0.000 3.273
Ni 1.491 1.677 2.223
Pt 1.491 1.677 4.758
```



9.
The following is a DFT calculation (PBE) of a geometry-optimized Sr2NiPt2 structure.

Properties
* energy of formation: -0.421 eV/atom
* symmetry: P4/mbm, No. 127
* density of states at the Fermi level: 0.7885 states/eV per atom
* E_tot: -4.667 eV per atom
* magnetization: 0.0 μB per formula unit

```
10
Lattice="6.997 0.000 0.000 0.000 6.997 0.000 0.000 0.000 4.626" Properties=species:S:1:pos:R:3 pbc="T T T"
Sr 1.228 2.271 0.000
Sr 2.271 5.769 0.000
Sr 4.727 1.228 0.000
Sr 5.769 4.727 0.000
Ni 0.000 0.000 2.313
Ni 3.499 3.499 2.313
Pt 0.961 4.460 2.313
Pt 2.537 0.961 2.313
Pt 4.460 6.036 2.313
Pt 6.036 2.537 2.313
```



10.
The following is a DFT calculation (PBE) of a geometry-optimized Sr2NiPt structure.

Properties
* energy of formation: 0.000 eV/atom
* symmetry: F-43m, No. 216
* density of states at the Fermi level: 0.4664 states/eV per atom
* E_tot: -3.796 eV per atom
* magnetization: 0.0 μB per formula unit

```
4
Lattice="0.000 3.570 3.570 3.570 0.000 3.570 3.570 3.570 0.000" Properties=species:S:1:pos:R:3 pbc="T T T"
Sr 0.000 0.000 0.000
Sr 1.785 1.785 1.785
Ni 3.570 3.570 3.570
Pt 5.355 5.355 5.355
```



11.
The following is a DFT calculation (PBE) of a geometry-optimized Sr2NiPt structure.

Properties
* energy of formation: -0.453 eV/atom
* symmetry: Amm2, No. 38
* density of states at the Fermi level: 0.6635 states/eV per atom
* E_tot: -4.250 eV per atom
* magnetization: 0.0 μB per formula unit

```
4
Lattice="4.409 0.000 0.000 0.000 2.246 5.474 0.000 -2.246 5.474" Properties=species:S:1:pos:R:3 pbc="T T T"
Sr 0.000 0.000 0.000
Sr 2.205 0.000 3.124
Ni 2.205 0.000 6.539
Pt 0.000 0.000 7.623
```



12.
The following is a DFT calculation (PBE) of a geometry-optimized Sr2NiPt structure.

Properties
* energy of formation: -0.279 eV/atom
* symmetry: Cmmm, No. 65
* density of states at the Fermi level: 0.5343 states/eV per atom
* E_tot: -4.075 eV per atom
* magnetization: 0.2 μB per formula unit

```
4
Lattice="3.653 -3.661 0.000 3.653 3.661 0.000 0.000 0.000 3.699" Properties=species:S:1:pos:R:3 pbc="T T T"
Sr 1.827 1.831 0.000
Sr 1.827 -1.831 0.000
Ni 0.000 0.000 1.849
Pt 3.653 0.000 1.849
```



13.
The following is a DFT calculation (PBE) of a geometry-optimized SrNi3Pt structure.

Properties
* energy of formation: 0.385 eV/atom
* symmetry: Pm-3m, No. 221
* density of states at the Fermi level: 1.6114 states/eV per atom
* E_tot: -4.628 eV per atom
* magnetization: 2.6 μB per formula unit

```
5
Lattice="4.711 0.000 0.000 0.000 4.711 0.000 0.000 0.000 4.711" Properties=species:S:1:pos:R:3 pbc="T T T"
Sr 0.000 0.000 0.000
Ni 0.000 2.356 2.356
Ni 2.356 0.000 2.356
Ni 2.356 2.356 0.000
Pt 2.356 2.356 2.356
```



14.
The following is a DFT calculation (PBE) of a geometry-optimized Sr2UNi3Pt12 structure.

Properties
* energy of formation: 0.018 eV/atom
* symmetry: R-3m, No. 166
* density of states at the Fermi level: 0.9983 states/eV per atom
* E_tot: -5.787 eV per atom
* magnetization: 1.6 μB per formula unit

```
18
Lattice="3.976 2.296 6.932 -3.976 2.296 6.932 0.000 -4.591 6.932" Properties=species:S:1:pos:R:3 pbc="T T T"
Sr 0.000 0.000 2.465
Sr 0.000 0.000 18.330
U 0.000 0.000 10.398
Ni -1.988 -1.148 6.932
Ni -1.988 1.148 13.863
Ni 0.000 2.296 6.932
Pt -2.056 -1.187 9.390
Pt 0.000 -2.287 6.202
Pt -1.980 1.143 6.202
Pt -1.980 -1.143 14.593
Pt 0.000 -2.374 11.405
Pt -2.056 1.187 11.405
Pt 2.056 -1.187 9.390
Pt 0.000 2.374 9.390
Pt 1.980 1.143 6.202
Pt 1.980 -1.143 14.593
Pt 0.000 2.287 14.593
Pt 2.056 1.187 11.405
```



15.
The following is a DFT calculation (PBE) of a geometry-optimized Sr2Zn4NiPt3 structure.

Properties
* energy of formation: -0.571 eV/atom
* symmetry: P-4m2, No. 115
* density of states at the Fermi level: 0.3856 states/eV per atom
* E_tot: -3.807 eV per atom
* magnetization: 0.0 μB per formula unit

```
10
Lattice="4.284 0.000 0.000 0.000 4.284 0.000 0.000 0.000 10.704" Properties=species:S:1:pos:R:3 pbc="T T T"
Sr 0.000 2.142 2.594
Sr 2.142 0.000 8.110
Zn 0.000 0.000 5.352
Zn 0.000 2.142 9.386
Zn 2.142 0.000 1.318
Zn 2.142 2.142 5.352
Ni 2.142 2.142 0.000
Pt 0.000 0.000 0.000
Pt 0.000 2.142 6.821
Pt 2.142 0.000 3.883
```



16.
The following is a DFT calculation (PBE) of a geometry-optimized SrZn3NiPt structure.

Properties
* energy of formation: -0.315 eV/atom
* symmetry: Cmcm, No. 63
* density of states at the Fermi level: 0.4714 states/eV per atom
* E_tot: -3.203 eV per atom
* magnetization: 0.0 μB per formula unit

```
12
Lattice="3.274 -6.217 0.000 3.274 6.217 0.000 0.000 0.000 5.678" Properties=species:S:1:pos:R:3 pbc="T T T"
Sr 3.274 3.326 4.259
Sr 3.274 -3.326 1.420
Zn 1.361 0.000 0.000
Zn 1.361 0.000 2.839
Zn 3.274 1.932 1.420
Zn 3.274 -1.932 4.259
Zn 5.188 0.000 0.000
Zn 5.188 0.000 2.839
Ni 3.274 0.408 4.259
Ni 3.274 -0.408 1.420
Pt 3.274 4.486 1.420
Pt 3.274 -4.486 4.259
```



17.
The following is a DFT calculation (PBE) of a geometry-optimized SrZr2NiPt structure.

Properties
* energy of formation: 1.738 eV/atom
* symmetry: P4/mmm, No. 123
* density of states at the Fermi level: 1.2327 states/eV per atom
* E_tot: -4.382 eV per atom
* magnetization: 0.0 μB per formula unit

```
5
Lattice="5.142 0.000 0.000 0.000 5.142 0.000 0.000 0.000 4.400" Properties=species:S:1:pos:R:3 pbc="T T T"
Sr 0.000 0.000 0.000
Zr 0.000 2.571 0.000
Zr 2.571 0.000 0.000
Ni 0.000 0.000 2.200
Pt 2.571 2.571 2.200
```



18.
The following is a DFT calculation (PBE) of a geometry-optimized Ta2Ni2Pt structure.

Properties
* energy of formation: -0.426 eV/atom
* symmetry: P4/mbm, No. 127
* density of states at the Fermi level: 0.7268 states/eV per atom
* E_tot: -8.688 eV per atom
* magnetization: 0.0 μB per formula unit

```
10
Lattice="6.686 0.000 0.000 0.000 6.686 0.000 0.000 0.000 3.270" Properties=species:S:1:pos:R:3 pbc="T T T"
Ta 1.161 2.182 0.000
Ta 2.182 5.525 0.000
Ta 4.504 1.161 0.000
Ta 5.525 4.504 0.000
Ni 0.844 4.187 1.635
Ni 2.499 0.844 1.635
Ni 4.187 5.842 1.635
Ni 5.842 2.499 1.635
Pt 0.000 0.000 1.635
Pt 3.343 3.343 1.635
```



19.
The following is a DFT calculation (PBE) of a geometry-optimized TaNiPt structure.

Properties
* energy of formation: -0.391 eV/atom
* symmetry: P3m1, No. 156
* density of states at the Fermi level: 0.7762 states/eV per atom
* E_tot: -8.283 eV per atom
* magnetization: 0.0 μB per formula unit

```
3
Lattice="4.326 0.000 0.000 -2.163 3.747 0.000 0.000 0.000 2.752" Properties=species:S:1:pos:R:3 pbc="T T T"
Ta 0.000 0.000 0.000
Ni 2.163 1.249 0.552
Pt 0.000 2.498 1.608
```



20.
The following is a DFT calculation (PBE) of a geometry-optimized TaNi7Pt4 structure.

Properties
* energy of formation: -0.216 eV/atom
* symmetry: P-1, No. 2
* density of states at the Fermi level: 1.4554 states/eV per atom
* E_tot: -6.590 eV per atom
* magnetization: 3.1 μB per formula unit

```
12
Lattice="5.279 0.000 0.000 2.545 5.281 0.000 1.182 1.345 5.663" Properties=species:S:1:pos:R:3 pbc="T T T"
Ta 0.000 0.000 0.000
Ni 1.282 1.295 1.859
Ni 2.613 2.637 0.017
Ni 3.865 3.995 1.815
Ni 2.639 0.000 0.000
Ni 5.142 2.631 3.848
Ni 6.394 3.989 5.647
Ni 7.725 5.331 3.804
Pt 2.533 2.739 3.853
Pt 5.072 5.244 3.797
Pt 3.935 1.382 1.867
Pt 6.474 3.887 1.811
```